(P)
Here is crystalline CrCdIO2 at its relaxed geometry from the Alexandria database. Energies are from PBE with a Hubbard U.

## Properties
Spin magnetization   2.36 Bohr magnetons per cell

Unit cell a=3.952 b=3.952 c=6.469 alpha=90.00 beta=90.00 gamma=90.00
Element x y z (fractional)
Cr1 0.000 0.000 0.000
Cd1 0.500 0.500 0.500
I1 0.000 0.000 0.500
O1 0.000 0.500 0.000
O2 0.500 0.000 0.000

(Q)
Here is crystalline CrCdIO2 at its relaxed geometry from the Alexandria database. Energies are from PBE with a Hubbard U.

## Properties
Spin magnetization   5.76 Bohr magnetons per cell

Unit cell a=4.191 b=4.191 c=6.626 alpha=90.00 beta=90.00 gamma=90.00
Element x y z (fractional)
Cr1 0.000 0.000 0.000
Cd1 0.500 0.500 0.500
I1 0.500 0.500 0.000
O1 0.000 0.500 0.500
O2 0.500 0.000 0.500

Of the structures shown above, (Q) is the least stable.